# 1
Computed, not measured: a relaxed Dy8Y3Ho2 crystal at the PBE-GGA level of DFT.

## Properties
* VASP energy: -0.3522 Ry/atom
* DFT formation energy: 235.7 meV/atom
* space-group type: Cmmm (65)

abc: 5.606 7.610 10.787
angles: 110.66 90.01 90.00
Atoms (fractional coordinates):
Dy  0.000  0.332  0.664
Y  0.500  0.000  0.000
Dy  0.500  0.180  0.782
Dy  0.500  0.820  0.218
Dy  0.500  0.602  0.782
Dy  0.000  0.668  0.336
Y  0.000  0.715  0.000
Y  0.000  0.285  0.000
Dy  0.000  0.866  0.732
Dy  0.500  0.398  0.218
Ho  0.500  0.758  0.517
Dy  0.000  0.134  0.268
Ho  0.500  0.242  0.483

---

# 2
Computed, not measured: a relaxed TeMo2W crystal at the PBE-GGA level of DFT.

## Properties
* VASP energy: -0.6634 Ry/atom
* energy relative to the elements, uncorrected: 413 meV per atom
* space-group type: P4mm (99)

abc: 3.227 3.227 6.674
angles: 90.00 90.00 90.00
Atoms (fractional coordinates):
Mo  0.500  0.500  0.229
Mo  0.000  0.000  0.004
W  0.500  0.500  0.766
Te  0.000  0.000  0.501

---

# 3
Computed, not measured: a relaxed CaHo2Hf crystal at the PBE-GGA level of DFT.

## Properties
* VASP energy: -0.3765 Ry/atom
* DFT formation energy: 155.6 meV/atom
* space-group type: R-3m (166)

abc: 3.458 3.458 11.818
angles: 81.59 81.59 60.00
Atoms (fractional coordinates):
Ho  0.259  0.259  0.222
Hf  0.000  0.000  0.000
Ca  0.500  0.500  0.500
Ho  0.741  0.741  0.778

---

# 4
Computed, not measured: a relaxed TbNdFe4 crystal at the PBE-GGA level of DFT.

## Properties
* VASP energy: -0.5290 Ry/atom
* DFT formation energy: 10.7 meV/atom
* space-group type: F-43m (216)

abc: 5.209 5.209 5.209
angles: 90.00 60.00 120.00
Atoms (fractional coordinates):
Nd  0.500  0.750  0.750
Fe  0.749  0.375  0.876
Fe  0.251  0.375  0.375
Fe  0.251  0.876  0.375
Tb  0.000  0.000  0.000
Fe  0.749  0.375  0.375

---

# 5
Computed, not measured: a relaxed CdIn2Ni2 crystal at the PBE-GGA level of DFT.

## Properties
* VASP energy: -0.2510 Ry/atom
* DFT formation energy: 176.1 meV/atom
* space-group type: I4/mmm (139)

abc: 4.142 4.142 6.330
angles: 70.90 70.90 90.00
Atoms (fractional coordinates):
Cd  0.000  0.000  0.000
Ni  0.602  0.602  0.795
Ni  0.398  0.398  0.205
In  0.250  0.750  0.500
In  0.750  0.250  0.500

---

# 6
Computed, not measured: a relaxed EuScAgAu crystal at the PBE-GGA level of DFT.

## Properties
* VASP energy: -0.4496 Ry/atom
* DFT formation energy: -433.3 meV/atom
* space-group type: F-43m (216)

abc: 5.078 5.078 5.078
angles: 60.00 60.00 60.00
Atoms (fractional coordinates):
Eu  0.500  0.500  0.500
Sc  0.000  0.000  0.000
Au  0.250  0.250  0.250
Ag  0.750  0.750  0.750

---

Question: Look up the VASP energy of the sixth one.
Answer: -0.4496 Ry/atom

---

Question: Which of these has the lowest VASP energy?
Answer: TeMo2W

---

Question: Look up the VASP energy of the first one.
Answer: -0.3522 Ry/atom